First-principles (PBEsol) data for LiPt2Cl after structural relaxation, as listed in Alexandria via LeMat-Bulk.

```
LiPt2Cl
1.0
2.825 0.000 0.000
0.000 5.024 0.000
-0.030 0.000 4.428
Li Pt Cl
1 2 1
Cartesian
0.000 0.000 0.000
0.708 2.512 1.103
2.087 2.512 3.324
1.397 0.000 2.214
```

Values from the calculation:
Size of the total moment ... 0.00 μB per formula unit
Symmetry ... P2/m, No. 10
Relative energy among the computed polymorphs ... 0.075 eV per atom
Calculated density ... 11.43 Mg/m³
Raw total energy ... -18.62 eV per cell

---

First-principles (PBEsol) data for BeInRe2 after structural relaxation, as listed in Alexandria via LeMat-Bulk.

```
BeInRe2
1.0
2.775 0.000 0.000
0.000 4.175 0.000
-0.903 0.000 5.087
Be In Re
1 1 2
Cartesian
0.000 0.000 0.000
0.936 0.000 2.543
-0.169 2.087 3.978
2.041 2.087 1.109
```

Values from the calculation:
Size of the total moment ... 0.00 μB per formula unit
Symmetry ... P2/m, No. 10
Relative energy among the computed polymorphs ... 0.134 eV per atom
Calculated density ... 13.98 Mg/m³
Formation enthalpy at 0 K ... 0.515 eV/atom
Raw total energy ... -31.59 eV per cell